# PBE Mn3WSe, optimized geometry
data_Mn3WSe
_cell_length_a 4.211
_cell_length_b 4.211
_cell_length_c 4.211
_cell_angle_alpha 90.00
_cell_angle_beta 90.00
_cell_angle_gamma 90.00
_symmetry_space_group_name_H-M 'P 1'
_symmetry_Int_Tables_number 1
loop_
_symmetry_equiv_pos_as_xyz
'x,y,z'
loop_
_atom_site_label
_atom_site_type_symbol
_atom_site_fract_x
_atom_site_fract_y
_atom_site_fract_z
_atom_site_occupancy
Mn1 Mn 0.500 0.000 0.000 1
Mn2 Mn 0.000 0.000 0.500 1
Mn3 Mn 0.000 0.500 0.000 1
W1 W 0.500 0.500 0.500 1
Se1 Se 0.000 0.000 0.000 1
# Density of states at the Fermi level = 13.110 states/eV/cell
# Magnetic moment = 0.0004 μB per atom
# SG = Pm-3m (221)
# Offset from the most stable computed form = 0 meV per atom
# Total energy = -7.546 eV/atom
# ΔE_f (raw) = 1244 meV per atom
# Crystal system = cubic